Crystalline TlTe2Br at its relaxed geometry, computed with GGA-PBE.

Unit cell a=10.431 b=10.431 c=10.431 alpha=20.09 beta=20.09 gamma=20.09
Positions (direct):
1 Tl 0.250 0.250 0.250
2 Te 0.001 0.001 0.001
3 Te 0.499 0.499 0.499
4 Br 0.750 0.750 0.750

Summary:
The value obtained for the mass density is 7.6 g/cm³. As for the energy relative to the elements, uncorrected: 0.7 eV per formula unit. The calculation puts the energy relative to the lowest polymorph listed for this composition at 2.03 eV per formula unit.



Crystalline Tl2Te2Br at its relaxed geometry, computed with GGA-PBE.

Unit cell a=8.852 b=8.852 c=5.155 alpha=90.00 beta=90.00 gamma=90.00
Positions (direct):
1 Tl 0.692 0.192 0.000
2 Te 0.108 0.608 0.500
3 Te 0.608 0.892 0.500
4 Te 0.892 0.392 0.500
5 Tl 0.192 0.308 0.000
6 Tl 0.808 0.692 0.000
7 Te 0.392 0.108 0.500
8 Tl 0.308 0.808 0.000
9 Br 0.500 0.500 0.000
10 Br 0.000 0.000 0.000

Summary:
The value obtained for the mass density is 6.1 g/cm³. As for the energy relative to the elements, uncorrected: -1.2 eV per formula unit. The calculation puts the energy relative to the lowest polymorph listed for this composition at 0.96 eV per formula unit.